# 1
Crystalline BaTiCuPt2 at its relaxed geometry, computed with PBE.

Values from the calculation:
ΔE_f in eV/atom: 0.589
Calculated total energy in eV per atom: -4.6097

a = 4.7472 Å, b = 4.7472 Å, c = 5.9532 Å
α = 90.00°, β = 90.00°, γ = 90.00°
Space group P4/mmm (No. 123)
Asymmetric unit:
Ba: 0.0000 0.0000 0.0000 [1 per cell]
Ti: 0.0000 0.0000 0.5000 [1 per cell]
Cu: 0.5000 0.5000 0.0000 [1 per cell]
Pt: 0.0000 0.5000 0.5000 [2 per cell]

***

# 2
Crystalline FeNi2As at its relaxed geometry, computed with PBE.

Values from the calculation:
ΔE_f in eV/atom: 0.011
Calculated total energy in eV per atom: -6.1581

a = 4.9721 Å, b = 7.1173 Å, c = 2.7622 Å
α = 90.00°, β = 90.00°, γ = 90.00°
Space group Cmmm (No. 65)
Asymmetric unit:
Fe: 0.0000 0.0000 0.0000 [2 per cell]
Ni: 0.2500 0.2500 0.5000 [4 per cell]
As: 0.0000 0.5000 0.0000 [2 per cell]

***

# 3
Crystalline Ce3SnGe at its relaxed geometry, computed with PBE.

Values from the calculation:
ΔE_f in eV/atom: 0.103
Calculated total energy in eV per atom: -5.1812

a = 5.5404 Å, b = 6.3060 Å, c = 10.8099 Å
α = 90.00°, β = 90.00°, γ = 90.00°
Space group Amm2 (No. 38)
Asymmetric unit:
Ce: 0.0000 0.0000 0.0000 [2 per cell]
Ce: 0.5000 0.2166 0.3756 [4 per cell]
Sn: 0.5000 0.0000 0.1180 [2 per cell]
Ge: 0.0000 0.0000 0.3996 [2 per cell]

***

# 4
Crystalline Y2Zn15Cu2 at its relaxed geometry, computed with PBE.

Values from the calculation:
ΔE_f in eV/atom: -0.226
Calculated total energy in eV per atom: -2.3436

a = 8.9221 Å, b = 8.9221 Å, c = 13.1077 Å
α = 90.00°, β = 90.00°, γ = 120.00°
Space group R-3m (No. 166, hexagonal axes)
Asymmetric unit:
Y: 0.0000 0.0000 0.1648 [6 per cell]
Zn: 0.0000 0.2908 0.5000 [18 per cell]
Zn: 0.0000 0.5000 0.0000 [9 per cell]
Zn: 0.0061 0.5031 0.6514 [18 per cell]
Cu: 0.0000 0.0000 0.3996 [6 per cell]

***

# 5
Crystalline Ba3Tl2Pt7 at its relaxed geometry, computed with PBE.

Values from the calculation:
ΔE_f in eV/atom: -0.530
Calculated total energy in eV per atom: -4.9284

a = 5.8625 Å, b = 5.8625 Å, c = 27.3300 Å
α = 90.00°, β = 90.00°, γ = 120.00°
Space group R-3m (No. 166, hexagonal axes)
Asymmetric unit:
Ba: 0.0000 0.0000 0.0000 [3 per cell]
Ba: 0.0000 0.0000 0.1412 [6 per cell]
Tl: 0.0000 0.0000 0.3313 [6 per cell]
Pt: 0.0000 0.0000 0.5000 [3 per cell]
Pt: 0.0057 0.5029 0.0839 [18 per cell]

***

# 6
Crystalline Dy3Y2In3 at its relaxed geometry, computed with PBE.

Values from the calculation:
ΔE_f in eV/atom: -0.365
Calculated total energy in eV per atom: -4.7339

a = 3.7801 Å, b = 5.3371 Å, c = 22.2694 Å
α = 90.00°, β = 90.00°, γ = 90.00°
Space group Immm (No. 71)
Asymmetric unit:
Dy: 0.0000 0.0000 0.0000 [2 per cell]
Dy: 0.0000 0.5000 0.1237 [4 per cell]
Y: 0.0000 0.0000 0.2343 [4 per cell]
In: 0.0000 0.0000 0.5000 [2 per cell]
In: 0.0000 0.5000 0.3811 [4 per cell]

***

# 7
Crystalline RePBr2 at its relaxed geometry, computed with PBE.

Values from the calculation:
Calculated total energy in eV per atom: -4.8001
Uncorrected formation energy in eV/atom: 0.50

a = 3.2103 Å, b = 5.0165 Å, c = 12.1998 Å
α = 90.00°, β = 90.00°, γ = 90.00°
Space group Imm2 (No. 44)
Asymmetric unit:
Re: 0.0000 0.0000 0.0000 [2 per cell]
P: 0.0000 0.5000 0.6335 [2 per cell]
Br: 0.0000 0.0000 0.5113 [2 per cell]
Br: 0.0000 0.5000 0.3222 [2 per cell]

***

# 8
Crystalline LaHfTh2 at its relaxed geometry, computed with PBE.

Values from the calculation:
ΔE_f in eV/atom: 0.148
Calculated total energy in eV per atom: -7.2820

a = 3.4801 Å, b = 3.4801 Å, c = 34.2738 Å
α = 90.00°, β = 90.00°, γ = 120.00°
Space group R3m (No. 160, hexagonal axes)
Asymmetric unit:
La: 0.0000 0.0000 0.0000 [3 per cell]
Hf: 0.0000 0.0000 0.8311 [3 per cell]
Th: 0.0000 0.0000 0.2435 [3 per cell]
Th: 0.0000 0.0000 0.4203 [3 per cell]

***

# 9
Crystalline LiCeTmPd at its relaxed geometry, computed with PBE.

Values from the calculation:
ΔE_f in eV/atom: -0.286
Calculated total energy in eV per atom: -4.6644

a = 7.1330 Å, b = 7.1330 Å, c = 7.1330 Å
α = 90.00°, β = 90.00°, γ = 90.00°
Space group F-43m (No. 216)
Asymmetric unit:
Li: 0.0000 0.0000 0.0000 [4 per cell]
Ce: 0.2500 0.2500 0.7500 [4 per cell]
Tm: 0.2500 0.2500 0.2500 [4 per cell]
Pd: 0.0000 0.0000 0.5000 [4 per cell]

***

# 10
Crystalline ZnCd4Ag2 at its relaxed geometry, computed with PBE.

Values from the calculation:
ΔE_f in eV/atom: 0.004
Calculated total energy in eV per atom: -1.5159

a = 7.3903 Å, b = 8.7244 Å, c = 4.4830 Å
α = 90.00°, β = 90.00°, γ = 90.00°
Space group Cmmm (No. 65)
Asymmetric unit:
Zn: 0.0000 0.0000 0.0000 [2 per cell]
Cd: 0.1936 0.5000 0.5000 [4 per cell]
Cd: 0.2500 0.2500 0.0000 [4 per cell]
Ag: 0.0000 0.2038 0.5000 [4 per cell]

***

# 11
Crystalline CaPa2RuN4 at its relaxed geometry, computed with PBE.

Values from the calculation:
Calculated total energy in eV per atom: -9.0797
Uncorrected formation energy in eV/atom: -1.13

a = 3.4413 Å, b = 11.7616 Å, c = 11.9201 Å
α = 90.00°, β = 90.00°, γ = 90.00°
Space group Cmcm (No. 63)
Asymmetric unit:
Ca: 0.0000 0.0960 0.2500 [4 per cell]
Pa: 0.0000 0.3682 0.0591 [8 per cell]
Ru: 0.0000 0.1651 0.7500 [4 per cell]
N: 0.0000 0.0000 0.0000 [4 per cell]
N: 0.0000 0.2649 0.6000 [8 per cell]
N: 0.0000 0.4463 0.2500 [4 per cell]

***

# 12
Crystalline U5C4N at its relaxed geometry, computed with PBE.

Values from the calculation:
Calculated total energy in eV per atom: -10.5289
Uncorrected formation energy in eV/atom: -0.36

a = 3.4836 Å, b = 3.4836 Å, c = 24.6503 Å
α = 90.00°, β = 90.00°, γ = 90.00°
Space group I4/mmm (No. 139)
Asymmetric unit:
U: 0.0000 0.0000 0.0000 [2 per cell]
U: 0.0000 0.0000 0.1999 [4 per cell]
U: 0.0000 0.0000 0.4009 [4 per cell]
C: 0.0000 0.0000 0.0995 [4 per cell]
C: 0.0000 0.0000 0.3007 [4 per cell]
N: 0.0000 0.0000 0.5000 [2 per cell]

***

# 13
Crystalline Tb2Nd6Sm3Tm at its relaxed geometry, computed with PBE.

Values from the calculation:
ΔE_f in eV/atom: 0.013
Calculated total energy in eV per atom: -4.6950

a = 6.3039 Å, b = 10.9192 Å, c = 11.9733 Å
α = 90.00°, β = 100.09°, γ = 90.00°
Space group C2/m (No. 12)
Asymmetric unit:
Tb: 0.0000 0.1667 0.0000 [4 per cell]
Nd: 0.2490 0.3336 0.2473 [8 per cell]
Nd: 0.2499 0.0000 0.2475 [4 per cell]
Sm: 0.0000 0.0000 0.5000 [2 per cell]
Sm: 0.0000 0.3333 0.5000 [4 per cell]
Tm: 0.0000 0.5000 0.0000 [2 per cell]

***

# 14
Crystalline Sr2MgNbW at its relaxed geometry, computed with PBE.

Values from the calculation:
ΔE_f in eV/atom: 2.159
Calculated total energy in eV per atom: -3.4375

a = 5.4956 Å, b = 5.4956 Å, c = 5.1816 Å
α = 90.00°, β = 90.00°, γ = 90.00°
Space group P4/mmm (No. 123)
Asymmetric unit:
Sr: 0.0000 0.5000 0.0000 [2 per cell]
Mg: 0.0000 0.0000 0.0000 [1 per cell]
Nb: 0.0000 0.0000 0.5000 [1 per cell]
W: 0.5000 0.5000 0.5000 [1 per cell]

***

# 15
Crystalline KSnPd2F8 at its relaxed geometry, computed with PBE.

Values from the calculation:
Calculated total energy in eV per atom: -4.3900
Uncorrected formation energy in eV/atom: -1.85

a = 4.8903 Å, b = 5.6094 Å, c = 7.8877 Å
α = 92.58°, β = 98.51°, γ = 98.12°
Space group P-1 (No. 2)
Asymmetric unit:
K: 0.0000 0.0000 0.0000 [1 per cell]
Sn: 0.0000 0.0000 0.5000 [1 per cell]
Pd: 0.3716 0.5250 0.7964 [2 per cell]
F: 0.2043 0.9048 0.3184 [2 per cell]
F: 0.2153 0.8262 0.6853 [2 per cell]
F: 0.2757 0.3100 0.5625 [2 per cell]
F: 0.4826 0.7231 0.0325 [2 per cell]

***

# 16
Crystalline Ac6InOs2I3 at its relaxed geometry, computed with PBE.

Values from the calculation:
Calculated total energy in eV per atom: -5.1874
Uncorrected formation energy in eV/atom: -0.65

a = 21.5760 Å, b = 4.4163 Å, c = 10.2542 Å
α = 90.00°, β = 109.53°, γ = 90.00°
Space group C2/m (No. 12)
Asymmetric unit:
Ac: 0.0296 0.0000 0.2585 [4 per cell]
Ac: 0.1659 0.5000 0.1460 [4 per cell]
Ac: 0.1838 0.5000 0.5527 [4 per cell]
In: 0.0000 0.5000 0.0000 [2 per cell]
Os: 0.1687 0.0000 0.3419 [4 per cell]
I: 0.0000 0.5000 0.5000 [2 per cell]
I: 0.1632 0.0000 0.8372 [4 per cell]

***

# 17
Crystalline BaTaTiO6 at its relaxed geometry, computed with PBE.

Values from the calculation:
Calculated total energy in eV per atom: -8.3163
Uncorrected formation energy in eV/atom: -2.60

a = 5.1065 Å, b = 5.1065 Å, c = 9.8897 Å
α = 90.00°, β = 90.00°, γ = 90.00°
Space group P4_2nm (No. 102)
Asymmetric unit:
Ba: 0.0000 0.0000 0.0000 [2 per cell]
Ta: 0.0000 0.0000 0.3378 [2 per cell]
Ti: 0.0000 0.0000 0.6696 [2 per cell]
O: 0.1568 0.1568 0.5059 [4 per cell]
O: 0.2389 0.2389 0.7833 [4 per cell]
O: 0.2415 0.2415 0.2273 [4 per cell]

***

# 18
Crystalline Ac2Zn9Au at its relaxed geometry, computed with PBE.

Values from the calculation:
ΔE_f in eV/atom: -0.043
Calculated total energy in eV per atom: -1.9564

a = 5.8721 Å, b = 5.8721 Å, c = 25.1403 Å
α = 90.00°, β = 90.00°, γ = 120.00°
Space group R-3m (No. 166, hexagonal axes)
Asymmetric unit:
Ac: 0.0000 0.0000 0.1353 [6 per cell]
Zn: 0.0000 0.0000 0.3343 [6 per cell]
Zn: 0.0000 0.0000 0.5000 [3 per cell]
Zn: 0.0027 0.5014 0.9214 [18 per cell]
Au: 0.0000 0.0000 0.0000 [3 per cell]

***

# 19
Crystalline Si2AgPBr at its relaxed geometry, computed with PBE.

Values from the calculation:
Calculated total energy in eV per atom: -2.7242
Uncorrected formation energy in eV/atom: 1.43

a = 4.9757 Å, b = 4.9757 Å, c = 4.8946 Å
α = 90.00°, β = 90.00°, γ = 90.00°
Space group P4/mmm (No. 123)
Asymmetric unit:
Si: 0.0000 0.5000 0.0000 [2 per cell]
Ag: 0.0000 0.0000 0.5000 [1 per cell]
P: 0.5000 0.5000 0.5000 [1 per cell]
Br: 0.5000 0.5000 0.0000 [1 per cell]

***

# 20
Crystalline LiCeHoMg at its relaxed geometry, computed with PBE.

Values from the calculation:
ΔE_f in eV/atom: 0.133
Calculated total energy in eV per atom: -3.3723

a = 7.5554 Å, b = 7.5554 Å, c = 7.5554 Å
α = 90.00°, β = 90.00°, γ = 90.00°
Space group F-43m (No. 216)
Asymmetric unit:
Li: 0.0000 0.0000 0.0000 [4 per cell]
Ce: 0.2500 0.2500 0.7500 [4 per cell]
Ho: 0.2500 0.2500 0.2500 [4 per cell]
Mg: 0.0000 0.0000 0.5000 [4 per cell]